Entry 1:
This record from the Alexandria database describes an optimized crystal structure of La2Pr4Sm2Mg. The functional is PBE-GGA.

Properties
- ΔE_f: 0.7 eV per formula unit
- Magnetic moment: 0.00 μB per formula unit

```
data_La2Pr4Sm2Mg
_chemical_formula_sum 'La2 Pr4 Sm2 Mg1'
_cell_length_a 6.6340
_cell_length_b 6.6671
_cell_length_c 7.6680
_cell_angle_alpha 75.09
_cell_angle_beta 75.74
_cell_angle_gamma 85.61
_symmetry_space_group_name_H-M 'P -1'
_symmetry_Int_Tables_number 2
loop_
_symmetry_equiv_pos_as_xyz
'x,y,z'
'-x,-y,-z'
loop_
_atom_site_label
_atom_site_type_symbol
_atom_site_fract_x
_atom_site_fract_y
_atom_site_fract_z
_atom_site_occupancy
La1 La 0.1864 0.1259 0.2857 1
Pr1 Pr 0.2114 0.1680 0.8060 1
Pr2 Pr 0.3229 0.6688 0.0966 1
Sm1 Sm 0.3712 0.7046 0.6043 1
Mg1 Mg 0.0000 0.5000 0.5000 1
```



Entry 2:
This record from the Alexandria database describes an optimized crystal structure of NdSiRu. The functional is PBE-GGA.

Properties
- ΔE_f (raw): -0.778 eV per atom
- Magnetic moment: 0.00 μB per formula unit

```
data_NdSiRu
_chemical_formula_sum 'Nd2 Si2 Ru2'
_cell_length_a 4.2267
_cell_length_b 4.2267
_cell_length_c 6.9527
_cell_angle_alpha 90.00
_cell_angle_beta 90.00
_cell_angle_gamma 90.00
_symmetry_space_group_name_H-M 'P 4/n m m'
_symmetry_Int_Tables_number 129
loop_
_symmetry_equiv_pos_as_xyz
'x,y,z'
'-x,-y,-z'
'-y+1/2,x,z'
'y+1/2,-x,-z'
'-x+1/2,-y+1/2,z'
'x+1/2,y+1/2,-z'
'y,-x+1/2,z'
'-y,x+1/2,-z'
'x+1/2,-y,-z'
'-x+1/2,y,z'
'-y,-x,-z'
'y,x,z'
'-x,y+1/2,-z'
'x,-y+1/2,z'
'y+1/2,x+1/2,-z'
'-y+1/2,-x+1/2,z'
loop_
_atom_site_label
_atom_site_type_symbol
_atom_site_fract_x
_atom_site_fract_y
_atom_site_fract_z
_atom_site_occupancy
Nd1 Nd 0.2500 0.2500 0.1788 1
Si1 Si 0.2500 0.2500 0.6742 1
Ru1 Ru 0.2500 0.7500 0.5000 1
```